## Y6ZnTe4 (PBE)

Data for a relaxed structure of Y6ZnTe4.

Cell lengths 8.5137, 8.5137, 8.5137 Å; angles 90.55, 90.55, 90.55 degrees
Closest atoms and distances in Å follow each position.
Positions (direct):
Y: 0.0597 0.9261 0.6880  1 Zn 2.78, 1 Te 3.07
Y: 0.0739 0.3120 0.9403  1 Zn 2.78, 1 Te 3.07
Y: 0.1880 0.4261 0.5597  1 Zn 2.78, 1 Te 3.07
Y: 0.3120 0.9403 0.0739  1 Zn 2.78, 1 Te 3.07
Y: 0.4261 0.5597 0.1880  1 Zn 2.78, 1 Te 3.07
Y: 0.4403 0.8120 0.5739  1 Zn 2.78, 1 Te 3.07
Y: 0.5597 0.1880 0.4261  1 Zn 2.78, 1 Te 3.07
Y: 0.5739 0.4403 0.8120  1 Zn 2.78, 1 Te 3.07
Y: 0.6880 0.0597 0.9261  1 Zn 2.78, 1 Te 3.07
Y: 0.8120 0.5739 0.4403  1 Zn 2.78, 1 Te 3.07
Y: 0.9261 0.6880 0.0597  1 Zn 2.78, 1 Te 3.07
Y: 0.9403 0.0739 0.3120  1 Zn 2.78, 1 Te 3.07
Zn: 0.0000 0.0000 0.0000  6 Y 2.78
Zn: 0.5000 0.5000 0.5000  6 Y 2.78
Te: 0.1306 0.7500 0.3694  8 Y 3.15-3.38
Te: 0.2500 0.2500 0.2500  6 Y 3.07
Te: 0.2500 0.6306 0.8694  8 Y 3.15-3.38
Te: 0.3694 0.1306 0.7500  8 Y 3.15-3.38
Te: 0.6306 0.8694 0.2500  8 Y 3.15-3.38
Te: 0.7500 0.3694 0.1306  8 Y 3.15-3.38
Te: 0.7500 0.7500 0.7500  6 Y 3.07
Te: 0.8694 0.2500 0.6306  8 Y 3.15-3.38

Output
uncorrected formation energy	-876.1	meV/atom


## AlTc4Rh (PBE)

Data for a relaxed structure of AlTc4Rh.

Cell lengths 5.0857, 5.0857, 5.0857 Å; angles 60.00, 60.00, 60.00 degrees
Closest atoms and distances in Å follow each position.
Positions (direct):
Al: 0.0000 0.0000 0.0000  12 Tc 2.98, 4 Rh 3.11
Tc: 0.3751 0.3751 0.3751  6 Tc 2.54-2.55
Tc: 0.3751 0.3751 0.8746  6 Tc 2.54-2.55
Tc: 0.3751 0.8746 0.3751  6 Tc 2.54-2.55
Tc: 0.8746 0.3751 0.3751  6 Tc 2.54-2.55
Rh: 0.7500 0.7500 0.7500  12 Tc 2.98, 4 Al 3.11

Output
energy of formation from the pure elements	0.2444	eV/atom


## GaCuBi3 (PBE)

Data for a relaxed structure of GaCuBi3.

Cell lengths 5.4622, 5.4622, 5.4622 Å; angles 90.00, 90.00, 90.00 degrees
Closest atoms and distances in Å follow each position.
Positions (direct):
Ga: 0.0000 0.0000 0.0000  6 Bi 2.73
Cu: 0.5000 0.5000 0.5000  12 Bi 3.86
Bi: 0.0000 0.0000 0.5000  2 Ga 2.73
Bi: 0.0000 0.5000 0.0000  2 Ga 2.73
Bi: 0.5000 0.0000 0.0000  2 Ga 2.73

Output
energy of formation from the pure elements	0.8503	eV/atom
polymorph energy (0 for the lowest one)	0.4348	eV/atom